Compound: NaGaSi
Source: Alexandria
Functional: PBE
Structure: optimized geometry

```
NaGaSi
1.0
-3.172 3.498 2.428
3.805 -2.484 2.746
5.683 6.524 -1.974
Ga Na Si
2 2 2
Direct
0.000 0.000 0.750
0.000 0.000 0.250
0.667 0.333 0.750
0.333 0.667 0.250
0.000 0.000 0.500
0.000 0.000 0.000
```

Computed properties:
The calculation puts the density at 1852 kg/m3. The uncorrected formation energy is 648.7 meV/atom. The density of states at the Fermi level comes out at 1.99 states/eV/cell. For the total moment, the calculation gives 0.0 μB/cell. The value obtained for the raw total energy is -2.6076 eV/atom.